Record 1
Density functional theory data (SCAN) for a crystal of Ba4TiAl3P4O20F4 relaxed with PBEsol.

Computed properties:
E_tot in eV/atom: -13.56
DOS(E_F) in states/eV per cell: 3.80
Size of the total moment in Bohr magnetons per cell: 3.036

Cell: 5.1988 6.9809 12.6164 Å, 90.06 90.15 101.52°
Fractional positions:
Ba1 0.0431 0.1934 0.3030
Ba2 0.4524 0.3085 0.8043
Ba3 0.5476 0.6915 0.1957
Ba4 0.9569 0.8066 0.6970
Ti1 0.5000 0.5000 0.5000
Al1 0.0000 0.0000 0.0000
Al2 0.0000 0.5000 0.0000
Al3 0.5000 0.0000 0.5000
P1 0.0707 0.7025 0.3853
P2 0.4312 0.8014 0.8905
P3 0.5688 0.1986 0.1095
P4 0.9293 0.2975 0.6147
O1 0.0647 0.8036 0.2786
O2 0.0791 0.2600 0.9586
O3 0.1468 0.8516 0.4763
O4 0.1962 0.4382 0.5953
O5 0.2314 0.9415 0.8860
O6 0.2732 0.5631 0.3809
O7 0.2924 0.0705 0.0886
O8 0.3508 0.6503 0.9809
O9 0.4244 0.2374 0.4556
O10 0.4367 0.6993 0.7837
O11 0.5633 0.3007 0.2163
O12 0.5756 0.7626 0.5444
O13 0.6492 0.3497 0.0191
O14 0.7076 0.9295 0.9114
O15 0.7268 0.4369 0.6191
O16 0.7686 0.0585 0.1140
O17 0.8038 0.5618 0.4047
O18 0.8532 0.1484 0.5237
O19 0.9209 0.7400 0.0414
O20 0.9353 0.1964 0.7214
F1 0.0912 0.4624 0.1364
F2 0.3996 0.0449 0.6352
F3 0.6004 0.9551 0.3648
F4 0.9088 0.5376 0.8636

Record 2
Density functional theory data (SCAN) for a crystal of BaSr11Al4O16F4 relaxed with PBEsol.

Computed properties:
E_tot in eV/atom: -15.30
DOS(E_F) in states/eV per cell: 0.00
Size of the total moment in Bohr magnetons per cell: 0.000

Cell: 6.7580 6.7580 11.1497 Å, 90.00 90.00 90.00°
Fractional positions:
Ba1 0.0000 0.0000 0.0000
Sr1 0.0000 0.0000 0.5000
Sr2 0.1686 0.3330 0.2513
Sr3 0.1686 0.6670 0.7487
Sr4 0.3330 0.1686 0.7487
Sr5 0.3330 0.8314 0.2513
Sr6 0.5000 0.5000 0.0000
Sr7 0.5000 0.5000 0.5000
Sr8 0.6670 0.1686 0.2513
Sr9 0.6670 0.8314 0.7487
Sr10 0.8314 0.3330 0.7487
Sr11 0.8314 0.6670 0.2513
Al1 0.0000 0.5000 0.0000
Al2 0.0000 0.5000 0.5000
Al3 0.5000 0.0000 0.0000
Al4 0.5000 0.0000 0.5000
O1 0.1435 0.3573 0.6021
O2 0.1435 0.6427 0.3979
O3 0.1461 0.3617 0.8965
O4 0.1461 0.6383 0.1035
O5 0.3573 0.1435 0.3979
O6 0.3573 0.8565 0.6021
O7 0.3617 0.1461 0.1035
O8 0.3617 0.8539 0.8965
O9 0.6383 0.1461 0.8965
O10 0.6383 0.8539 0.1035
O11 0.6427 0.1435 0.6021
O12 0.6427 0.8565 0.3979
O13 0.8539 0.3617 0.1035
O14 0.8539 0.6383 0.8965
O15 0.8565 0.3573 0.3979
O16 0.8565 0.6427 0.6021
F1 0.0000 0.0000 0.2561
F2 0.0000 0.0000 0.7439
F3 0.5000 0.5000 0.2540
F4 0.5000 0.5000 0.7460

Record 3
Density functional theory data (SCAN) for a crystal of BaAlPF2 relaxed with PBEsol.

Computed properties:
E_tot in eV/atom: -13.36
DOS(E_F) in states/eV per cell: 3.82
Size of the total moment in Bohr magnetons per cell: 0.000

Cell: 4.4368 4.4368 6.1763 Å, 90.00 90.00 90.00°
Fractional positions:
Ba1 0.0000 0.0000 0.0000
Al1 0.5000 0.5000 0.0000
P1 0.0000 0.0000 0.5000
F1 0.0000 0.5000 0.5000
F2 0.5000 0.0000 0.5000

Which value of E_tot does entry 3 give? -13.36 eV/atom

Which of these has the highest E_tot? BaAlPF2

What did the first record say?
Density functional theory data (SCAN) for a crystal of Ba4TiAl3P4O20F4 relaxed with PBEsol.

Computed properties:
E_tot in eV/atom: -13.56
DOS(E_F) in states/eV per cell: 3.80
Size of the total moment in Bohr magnetons per cell: 3.036

Cell: 5.1988 6.9809 12.6164 Å, 90.06 90.15 101.52°
Fractional positions:
Ba1 0.0431 0.1934 0.3030
Ba2 0.4524 0.3085 0.8043
Ba3 0.5476 0.6915 0.1957
Ba4 0.9569 0.8066 0.6970
Ti1 0.5000 0.5000 0.5000
Al1 0.0000 0.0000 0.0000
Al2 0.0000 0.5000 0.0000
Al3 0.5000 0.0000 0.5000
P1 0.0707 0.7025 0.3853
P2 0.4312 0.8014 0.8905
P3 0.5688 0.1986 0.1095
P4 0.9293 0.2975 0.6147
O1 0.0647 0.8036 0.2786
O2 0.0791 0.2600 0.9586
O3 0.1468 0.8516 0.4763
O4 0.1962 0.4382 0.5953
O5 0.2314 0.9415 0.8860
O6 0.2732 0.5631 0.3809
O7 0.2924 0.0705 0.0886
O8 0.3508 0.6503 0.9809
O9 0.4244 0.2374 0.4556
O10 0.4367 0.6993 0.7837
O11 0.5633 0.3007 0.2163
O12 0.5756 0.7626 0.5444
O13 0.6492 0.3497 0.0191
O14 0.7076 0.9295 0.9114
O15 0.7268 0.4369 0.6191
O16 0.7686 0.0585 0.1140
O17 0.8038 0.5618 0.4047
O18 0.8532 0.1484 0.5237
O19 0.9209 0.7400 0.0414
O20 0.9353 0.1964 0.7214
F1 0.0912 0.4624 0.1364
F2 0.3996 0.0449 0.6352
F3 0.6004 0.9551 0.3648
F4 0.9088 0.5376 0.8636

Please write out number 2 again, unchanged.
Density functional theory data (SCAN) for a crystal of BaSr11Al4O16F4 relaxed with PBEsol.

Computed properties:
E_tot in eV/atom: -15.30
DOS(E_F) in states/eV per cell: 0.00
Size of the total moment in Bohr magnetons per cell: 0.000

Cell: 6.7580 6.7580 11.1497 Å, 90.00 90.00 90.00°
Fractional positions:
Ba1 0.0000 0.0000 0.0000
Sr1 0.0000 0.0000 0.5000
Sr2 0.1686 0.3330 0.2513
Sr3 0.1686 0.6670 0.7487
Sr4 0.3330 0.1686 0.7487
Sr5 0.3330 0.8314 0.2513
Sr6 0.5000 0.5000 0.0000
Sr7 0.5000 0.5000 0.5000
Sr8 0.6670 0.1686 0.2513
Sr9 0.6670 0.8314 0.7487
Sr10 0.8314 0.3330 0.7487
Sr11 0.8314 0.6670 0.2513
Al1 0.0000 0.5000 0.0000
Al2 0.0000 0.5000 0.5000
Al3 0.5000 0.0000 0.0000
Al4 0.5000 0.0000 0.5000
O1 0.1435 0.3573 0.6021
O2 0.1435 0.6427 0.3979
O3 0.1461 0.3617 0.8965
O4 0.1461 0.6383 0.1035
O5 0.3573 0.1435 0.3979
O6 0.3573 0.8565 0.6021
O7 0.3617 0.1461 0.1035
O8 0.3617 0.8539 0.8965
O9 0.6383 0.1461 0.8965
O10 0.6383 0.8539 0.1035
O11 0.6427 0.1435 0.6021
O12 0.6427 0.8565 0.3979
O13 0.8539 0.3617 0.1035
O14 0.8539 0.6383 0.8965
O15 0.8565 0.3573 0.3979
O16 0.8565 0.6427 0.6021
F1 0.0000 0.0000 0.2561
F2 0.0000 0.0000 0.7439
F3 0.5000 0.5000 0.2540
F4 0.5000 0.5000 0.7460